[1]
Er3PaRu4 (PBE, relaxed); polymorph energy (0 for the lowest one) = 0.000 eV/atom
1.0
7.135 -2.398 0.000
7.135 2.398 0.000
-1.494 0.000 4.557
Er Pa Ru
3 1 4
direct
0.000 0.000 0.000
0.247 0.247 0.246
0.753 0.753 0.754
0.500 0.500 0.500
0.118 0.118 0.617
0.383 0.383 0.868
0.617 0.617 0.132
0.882 0.882 0.383

[2]
ErPa2Ru2 (PBE, relaxed); electronic total energy = -8.7538 eV/atom
1.0
7.555 -1.846 0.000
7.555 1.846 0.000
-6.917 0.000 8.069
Er Pa Ru
2 4 4
direct
0.186 0.186 0.328
0.814 0.814 0.672
0.270 0.270 0.899
0.486 0.486 0.319
0.514 0.514 0.681
0.730 0.730 0.101
0.066 0.066 0.932
0.122 0.122 0.577
0.878 0.878 0.423
0.934 0.934 0.068

[3]
Er3PaRu4 (PBE, relaxed); polymorph energy (0 for the lowest one) = 0.368 eV/atom
1.0
-2.234 3.248 6.152
2.234 -3.248 6.152
2.234 3.248 -6.152
Er Pa Ru
3 1 4
direct
0.000 0.000 0.000
0.274 0.274 0.000
0.726 0.726 0.000
0.500 0.000 0.500
0.147 0.647 0.500
0.292 0.500 0.792
0.708 0.500 0.208
0.853 0.353 0.500

[4]
ErPaRu2 (PBE, relaxed); electronic total energy = -8.6653 eV/atom
1.0
3.445 0.000 0.000
0.000 3.445 0.000
0.000 0.000 6.766
Er Pa Ru
1 1 2
direct
0.000 0.000 0.000
0.000 0.000 0.500
0.500 0.500 0.276
0.500 0.500 0.724